Material: Hf3VPd
Method: DFT, GGA-PBE
State: relaxed

abc: 4.787 4.787 4.787
angles: 90.00 90.00 90.00
Fractional positions:
Hf (0.000, 0.000, 0.500)
Hf (0.000, 0.500, 0.000)
Hf (0.500, 0.000, 0.000)
V (0.000, 0.000, 0.000)
Pd (0.500, 0.500, 0.500)

Calculated values
formation energy = 0.67 eV/atom
energy relative to the lowest polymorph listed for this composition = 0.000 eV per atom
symmetry = Pm-3m, No. 221